No. 1
# NaTb2Sm, optimized geometry, DFT PBE
# Energy relative to the lowest polymorph listed for this composition (meV per atom): 0.0
data_NaTb2Sm
_chemical_formula_sum 'Na1 Tb2 Sm1'
_cell_length_a 3.5522
_cell_length_b 3.5522
_cell_length_c 10.6302
_cell_angle_alpha 90.00
_cell_angle_beta 90.00
_cell_angle_gamma 90.00
_symmetry_space_group_name_H-M 'P 4/m m m'
_symmetry_Int_Tables_number 123
_symmetry_space_group_name_Hall '-P 4 2'
loop_
_atom_site_label
_atom_site_type_symbol
_atom_site_fract_x
_atom_site_fract_y
_atom_site_fract_z
Na1 Na 0.0000 0.0000 0.0000
Tb1 Tb 0.5000 0.5000 0.2672
Sm1 Sm 0.0000 0.0000 0.5000

=====

No. 2
# NaTbSm, optimized geometry, DFT PBE
# Energy relative to the lowest polymorph listed for this composition (meV per atom): 154.6
data_NaTbSm
_chemical_formula_sum 'Na2 Tb2 Sm2'
_cell_length_a 4.1619
_cell_length_b 4.1619
_cell_length_c 11.8975
_cell_angle_alpha 90.00
_cell_angle_beta 90.00
_cell_angle_gamma 90.00
_symmetry_space_group_name_H-M 'P 4/n m m'
_symmetry_Int_Tables_number 129
loop_
_symmetry_equiv_pos_as_xyz
'x,y,z'
'-x,-y,-z'
'-y+1/2,x,z'
'y+1/2,-x,-z'
'-x+1/2,-y+1/2,z'
'x+1/2,y+1/2,-z'
'y,-x+1/2,z'
'-y,x+1/2,-z'
'x+1/2,-y,-z'
'-x+1/2,y,z'
'-y,-x,-z'
'y,x,z'
'-x,y+1/2,-z'
'x,-y+1/2,z'
'y+1/2,x+1/2,-z'
'-y+1/2,-x+1/2,z'
loop_
_atom_site_label
_atom_site_type_symbol
_atom_site_fract_x
_atom_site_fract_y
_atom_site_fract_z
Na1 Na 0.2500 0.7500 0.0000
Tb1 Tb 0.2500 0.2500 0.4278
Sm1 Sm 0.2500 0.2500 0.7385

=====

No. 3
# NaTbSm, optimized geometry, DFT PBE
# Energy relative to the lowest polymorph listed for this composition (meV per atom): 0.0
data_NaTbSm
_chemical_formula_sum 'Na1 Tb1 Sm1'
_cell_length_a 3.5769
_cell_length_b 3.5769
_cell_length_c 9.2114
_cell_angle_alpha 90.00
_cell_angle_beta 90.00
_cell_angle_gamma 120.00
_symmetry_space_group_name_H-M 'P 3 m 1'
_symmetry_Int_Tables_number 156
loop_
_symmetry_equiv_pos_as_xyz
'x,y,z'
'-y,x-y,z'
'-x+y,-x,z'
'-y,-x,z'
'-x+y,y,z'
'x,x-y,z'
loop_
_atom_site_label
_atom_site_type_symbol
_atom_site_fract_x
_atom_site_fract_y
_atom_site_fract_z
Na1 Na 0.0000 0.0000 0.0000
Tb1 Tb 0.6667 0.3333 0.3471
Sm1 Sm 0.3333 0.6667 0.6488

=====

No. 4
# NaTbSm2, optimized geometry, DFT PBE
# Energy relative to the lowest polymorph listed for this composition (meV per atom): 31.4
data_NaTbSm2
_chemical_formula_sum 'Na3 Tb3 Sm6'
_cell_length_a 3.5469
_cell_length_b 3.5469
_cell_length_c 38.4412
_cell_angle_alpha 90.00
_cell_angle_beta 90.00
_cell_angle_gamma 120.00
_symmetry_space_group_name_H-M 'R -3 m'
_symmetry_Int_Tables_number 166
_symmetry_space_group_name_Hall '-R 3 2"'
loop_
_atom_site_label
_atom_site_type_symbol
_atom_site_fract_x
_atom_site_fract_y
_atom_site_fract_z
Na1 Na 0.0000 0.0000 0.0000
Tb1 Tb 0.0000 0.0000 0.5000
Sm1 Sm 0.0000 0.0000 0.0920

=====

No. 5
# NaTbSm2, optimized geometry, DFT PBE
# Energy relative to the lowest polymorph listed for this composition (meV per atom): 0.0
data_NaTbSm2
_chemical_formula_sum 'Na1 Tb1 Sm2'
_cell_length_a 3.5358
_cell_length_b 3.5358
_cell_length_c 10.8422
_cell_angle_alpha 90.00
_cell_angle_beta 90.00
_cell_angle_gamma 90.00
_symmetry_space_group_name_H-M 'P 4/m m m'
_symmetry_Int_Tables_number 123
_symmetry_space_group_name_Hall '-P 4 2'
loop_
_atom_site_label
_atom_site_type_symbol
_atom_site_fract_x
_atom_site_fract_y
_atom_site_fract_z
Na1 Na 0.0000 0.0000 0.0000
Tb1 Tb 0.0000 0.0000 0.5000
Sm1 Sm 0.5000 0.5000 0.2675

=====

No. 6
# NaTb2Sm, optimized geometry, DFT PBE
# Energy relative to the lowest polymorph listed for this composition (meV per atom): 32.3
data_NaTb2Sm
_chemical_formula_sum 'Na3 Tb6 Sm3'
_cell_length_a 3.5277
_cell_length_b 3.5277
_cell_length_c 38.2993
_cell_angle_alpha 90.00
_cell_angle_beta 90.00
_cell_angle_gamma 120.00
_symmetry_space_group_name_H-M 'R -3 m'
_symmetry_Int_Tables_number 166
_symmetry_space_group_name_Hall '-R 3 2"'
loop_
_atom_site_label
_atom_site_type_symbol
_atom_site_fract_x
_atom_site_fract_y
_atom_site_fract_z
Na1 Na 0.0000 0.0000 0.0000
Tb1 Tb 0.0000 0.0000 0.0916
Sm1 Sm 0.0000 0.0000 0.5000

=====

No. 7
# Na4Tb3SmTe8, optimized geometry, DFT PBE
# ΔE_f (raw) (eV/atom): -1.322
data_Na4Tb3SmTe8
_chemical_formula_sum 'Na12 Tb9 Sm3 Te24'
_cell_length_a 8.9161
_cell_length_b 8.9161
_cell_length_c 22.7014
_cell_angle_alpha 90.00
_cell_angle_beta 90.00
_cell_angle_gamma 120.00
_symmetry_space_group_name_H-M 'R -3 m'
_symmetry_Int_Tables_number 166
_symmetry_space_group_name_Hall '-R 3 2"'
loop_
_atom_site_label
_atom_site_type_symbol
_atom_site_fract_x
_atom_site_fract_y
_atom_site_fract_z
Na1 Na 0.0000 0.0000 0.0000
Na2 Na 0.0000 0.5000 0.0000
Tb1 Tb 0.0000 0.5000 0.5000
Sm1 Sm 0.0000 0.0000 0.5000
Te1 Te 0.0000 0.0000 0.2442
Te2 Te 0.0033 0.5017 0.7552

=====

No. 8
# NaTb3Sm3Te8, optimized geometry, DFT PBE
# ΔE_f (raw) (eV/atom): -1.360
data_NaTb3Sm3Te8
_chemical_formula_sum 'Na3 Tb9 Sm9 Te24'
_cell_length_a 8.7998
_cell_length_b 8.7998
_cell_length_c 21.5737
_cell_angle_alpha 90.00
_cell_angle_beta 90.00
_cell_angle_gamma 120.00
_symmetry_space_group_name_H-M 'R -3 m'
_symmetry_Int_Tables_number 166
_symmetry_space_group_name_Hall '-R 3 2"'
loop_
_atom_site_label
_atom_site_type_symbol
_atom_site_fract_x
_atom_site_fract_y
_atom_site_fract_z
Na1 Na 0.0000 0.0000 0.0000
Tb1 Tb 0.0000 0.5000 0.0000
Sm1 Sm 0.0000 0.5000 0.5000
Te1 Te 0.0000 0.0000 0.2518
Te2 Te 0.0108 0.5054 0.2491

=====

No. 9
# NaTb3Sm2Te6, optimized geometry, DFT PBE
# ΔE_f (raw) (eV/atom): -1.348
data_NaTb3Sm2Te6
_chemical_formula_sum 'Na2 Tb6 Sm4 Te12'
_cell_length_a 19.3146
_cell_length_b 4.3954
_cell_length_c 8.8886
_cell_angle_alpha 90.00
_cell_angle_beta 103.57
_cell_angle_gamma 90.00
_symmetry_space_group_name_H-M 'C 1 2/m 1'
_symmetry_Int_Tables_number 12
loop_
_symmetry_equiv_pos_as_xyz
'x,y,z'
'-x,-y,-z'
'-x,y,-z'
'x,-y,z'
'x+1/2,y+1/2,z'
'-x+1/2,-y+1/2,-z'
'-x+1/2,y+1/2,-z'
'x+1/2,-y+1/2,z'
loop_
_atom_site_label
_atom_site_type_symbol
_atom_site_fract_x
_atom_site_fract_y
_atom_site_fract_z
Na1 Na 0.0000 0.0000 0.0000
Tb1 Tb 0.0000 0.0000 0.5000
Tb2 Tb 0.1659 0.5000 0.8268
Sm1 Sm 0.1706 0.5000 0.3436
Te1 Te 0.0005 0.5000 0.2525
Te2 Te 0.1634 0.0000 0.5871
Te3 Te 0.1678 0.0000 0.0798

=====

No. 10
# Na2TbSm3Te6, optimized geometry, DFT PBE
# ΔE_f (raw) (eV/atom): -1.342
data_Na2TbSm3Te6
_chemical_formula_sum 'Na4 Tb2 Sm6 Te12'
_cell_length_a 7.7018
_cell_length_b 13.3293
_cell_length_c 7.7738
_cell_angle_alpha 90.00
_cell_angle_beta 109.21
_cell_angle_gamma 90.00
_symmetry_space_group_name_H-M 'C 1 2/m 1'
_symmetry_Int_Tables_number 12
loop_
_symmetry_equiv_pos_as_xyz
'x,y,z'
'-x,-y,-z'
'-x,y,-z'
'x,-y,z'
'x+1/2,y+1/2,z'
'-x+1/2,-y+1/2,-z'
'-x+1/2,y+1/2,-z'
'x+1/2,-y+1/2,z'
loop_
_atom_site_label
_atom_site_type_symbol
_atom_site_fract_x
_atom_site_fract_y
_atom_site_fract_z
Na1 Na 0.0000 0.1657 0.0000
Tb1 Tb 0.0000 0.5000 0.0000
Sm1 Sm 0.0000 0.0000 0.5000
Sm2 Sm 0.0000 0.3305 0.5000
Te1 Te 0.2445 0.5000 0.7486
Te2 Te 0.2469 0.3353 0.2470

=====

No. 11
# NaTb3Sm4Te8, optimized geometry, DFT PBE
# ΔE_f (raw) (eV/atom): -1.348
data_NaTb3Sm4Te8
_chemical_formula_sum 'Na3 Tb9 Sm12 Te24'
_cell_length_a 8.8335
_cell_length_b 8.8335
_cell_length_c 21.6965
_cell_angle_alpha 90.00
_cell_angle_beta 90.00
_cell_angle_gamma 120.00
_symmetry_space_group_name_H-M 'R -3 m'
_symmetry_Int_Tables_number 166
_symmetry_space_group_name_Hall '-R 3 2"'
loop_
_atom_site_label
_atom_site_type_symbol
_atom_site_fract_x
_atom_site_fract_y
_atom_site_fract_z
Na1 Na 0.0000 0.0000 0.0000
Tb1 Tb 0.0000 0.5000 0.0000
Sm1 Sm 0.0000 0.0000 0.5000
Sm2 Sm 0.0000 0.5000 0.5000
Te1 Te 0.0000 0.0000 0.2520
Te2 Te 0.0007 0.5003 0.7478

=====

No. 12
# Na2TbSmTe4, optimized geometry, DFT PBE
# ΔE_f (raw) (eV/atom): -1.324
data_Na2TbSmTe4
_chemical_formula_sum 'Na2 Tb1 Sm1 Te4'
_cell_length_a 7.7458
_cell_length_b 4.4740
_cell_length_c 7.9970
_cell_angle_alpha 90.00
_cell_angle_beta 108.83
_cell_angle_gamma 90.00
_symmetry_space_group_name_H-M 'P 1 2/m 1'
_symmetry_Int_Tables_number 10
loop_
_symmetry_equiv_pos_as_xyz
'x,y,z'
'-x,-y,-z'
'-x,y,-z'
'x,-y,z'
loop_
_atom_site_label
_atom_site_type_symbol
_atom_site_fract_x
_atom_site_fract_y
_atom_site_fract_z
Na1 Na 0.0000 0.0000 0.0000
Na2 Na 0.5000 0.5000 0.0000
Tb1 Tb 0.0000 0.5000 0.5000
Sm1 Sm 0.5000 0.0000 0.5000
Te1 Te 0.2412 0.0000 0.7338
Te2 Te 0.2515 0.5000 0.2643